## Ba8Ca3 (PBE)

Data for a geometry-optimized Ba8Ca3 structure.

POSCAR file:
```
Ba8Ca3
1.0
5.884 3.397 5.762
-5.884 3.397 5.762
0.000 -6.794 5.762
Ba Ca
8 3
Direct
0.105 0.105 0.105
0.262 0.648 0.265
0.265 0.262 0.648
0.352 0.735 0.738
0.648 0.265 0.262
0.735 0.738 0.352
0.738 0.352 0.735
0.895 0.895 0.895
0.000 0.000 0.500
0.000 0.500 0.000
0.500 0.000 0.000
```

Summary:
M_tot (μB/cell): 0.00
Uncorrected energy (eV per atom): -1.666
SG: R-3 (148)
Calculated formation energy (kJ per mole of atoms): 26.80

***

## Te2AsW (PBE)

Data for a geometry-optimized Te2AsW structure.

POSCAR file:
```
Te2AsW
1.0
1.705 0.984 9.463
-1.705 0.984 9.463
0.000 -1.968 9.463
Te As W
2 1 1
Direct
0.000 0.000 0.000
0.213 0.213 0.213
0.459 0.459 0.459
0.734 0.734 0.734
```

Summary:
M_tot (μB/cell): 0.00
Formation energy from raw total energies (kJ/mol of atoms): 18.0
Uncorrected energy (eV per atom): -5.785
SG: R3m (160)

***

uncorrected energy of number 2 (Te2AsW)?
-5.785 eV per atom

***

What is the formula in the first record?
Ba8Ca3

***

Among the records above, which one has the highest uncorrected energy?
Ba8Ca3